The following is a PBE-GGA calculation of crystalline KTl5Pd2 at its relaxed geometry, from Alexandria via LeMat-Bulk.

Computed properties:
theoretical density: 8.826 g/cm3
ΔE_f: -0.106 eV/atom
distance to the lowest polymorph of the same formula: 10.1 meV per atom
total magnetization: 0.00 μB per cell

```
KTl5Pd2
1.0
-3.103 6.483 -1.572
-2.411 0.527 6.931
10.244 0.633 -0.389
K Tl Pd
2 10 4
Cartesian
0.986 5.574 3.825
3.743 2.069 1.145
4.420 4.367 3.887
-2.319 5.671 5.348
0.000 0.000 0.000
-2.757 3.505 2.680
7.049 1.972 -0.378
5.048 5.312 0.128
6.421 1.027 3.381
-0.318 2.331 4.842
-1.692 6.616 1.589
0.309 3.276 1.083
-1.301 1.083 2.295
-2.310 4.206 -0.049
-3.204 2.804 5.408
-4.213 5.927 3.064
```